Material: ScNbSe2N
Method: DFT, GGA-PBE
State: relaxed

Computed properties:
formation energy (no corrections): -10.67 kcal/mol of atoms
V: 20.72 Å³ per atom
distance to the lowest polymorph of the same formula: 0.0 meV/atom
spin magnetization: 0.34 Bohr magnetons per cell
space-group type: P4/mmm, No. 123
density of states at the Fermi level: 2.60 states/eV per cell
crystal system: tetragonal

Cell lengths 5.157, 5.157, 3.896 Å; angles 90.00, 90.00, 90.00 degrees
Positions (direct):
Sc 0.000 0.000 0.000
Nb 0.500 0.500 0.500
Se 0.000 0.500 0.500
Se 0.500 0.000 0.500
N 0.500 0.500 0.000



Material: ScCoPd3
Method: DFT, GGA-PBE
State: relaxed

Computed properties:
V: 20.79 Å³ per atom
formation energy: 770 meV/atom
distance to the lowest polymorph of the same formula: 513.5 meV/atom
spin magnetization: 1.96 Bohr magnetons per cell
space-group type: Pm-3m, No. 221
density of states at the Fermi level: 2.37 states/eV per cell
crystal system: cubic

Cell lengths 4.702, 4.702, 4.702 Å; angles 90.00, 90.00, 90.00 degrees
Positions (direct):
Sc 0.000 0.000 0.000
Co 0.500 0.500 0.500
Pd 0.000 0.000 0.500
Pd 0.000 0.500 0.000
Pd 0.500 0.000 0.000



Material: SmY2Er3
Method: DFT, GGA-PBE
State: relaxed

Computed properties:
V: 32.65 Å³ per atom
formation energy: 234 meV/atom
distance to the lowest polymorph of the same formula: 210.8 meV/atom
spin magnetization: 0.00 Bohr magnetons per cell
space-group type: Cmc2_1, No. 36
density of states at the Fermi level: 17.87 states/eV per cell
crystal system: orthorhombic

Cell lengths 8.098, 8.098, 6.314 Å; angles 90.00, 90.00, 108.84 degrees
Positions (direct):
Sm 0.177 0.823 0.500
Sm 0.823 0.177 0.000
Y 0.122 0.515 0.829
Y 0.485 0.878 0.829
Y 0.515 0.122 0.329
Y 0.878 0.485 0.329
Er 0.078 0.922 0.028
Er 0.258 0.375 0.279
Er 0.375 0.258 0.779
Er 0.625 0.742 0.279
Er 0.742 0.625 0.779
Er 0.922 0.078 0.528



Material: PaMnPH
Method: DFT, GGA-PBE
State: relaxed

Computed properties:
E: -7.6823 eV/atom
V: 13.17 Å³ per atom
spin magnetization: 0.00 Bohr magnetons per cell
space-group type: P4/nmm, No. 129
density of states at the Fermi level: 4.88 states/eV per cell
crystal system: tetragonal

Cell lengths 3.929, 3.929, 6.825 Å; angles 90.00, 90.00, 90.00 degrees
Positions (direct):
Pa 0.250 0.250 0.190
Pa 0.750 0.750 0.810
Mn 0.250 0.750 0.500
Mn 0.750 0.250 0.500
P 0.250 0.250 0.670
P 0.750 0.750 0.330
H 0.250 0.750 0.000
H 0.750 0.250 0.000



Material: MgSc2Pt
Method: DFT, GGA-PBE
State: relaxed

Computed properties:
V: 20.24 Å³ per atom
formation energy: -597 meV/atom
spin magnetization: 0.00 Bohr magnetons per cell
space-group type: Immm, No. 71
density of states at the Fermi level: 6.95 states/eV per cell
crystal system: orthorhombic

Cell lengths 3.955, 4.878, 8.390 Å; angles 90.00, 90.00, 90.00 degrees
Positions (direct):
Mg 0.000 0.000 0.000
Mg 0.500 0.500 0.500
Sc 0.000 0.500 0.217
Sc 0.000 0.500 0.783
Sc 0.500 0.000 0.283
Sc 0.500 0.000 0.717
Pt 0.000 0.000 0.500
Pt 0.500 0.500 0.000



Material: Lu2Te4O11
Method: DFT, GGA-PBE
State: relaxed

Computed properties:
formation energy (no corrections): -42.83 kcal/mol of atoms
V: 14.50 Å³ per atom
spin magnetization: 0.00 Bohr magnetons per cell
space-group type: C2/c, No. 15
density of states at the Fermi level: 0.00 states/eV per cell
crystal system: monoclinic

Cell lengths 6.675, 6.675, 16.228 Å; angles 103.93, 103.93, 44.93 degrees
Positions (direct):
Lu 0.127 0.633 0.963
Lu 0.367 0.873 0.537
Lu 0.633 0.127 0.463
Lu 0.873 0.367 0.037
Te 0.155 0.590 0.624
Te 0.162 0.594 0.303
Te 0.406 0.838 0.197
Te 0.410 0.845 0.876
Te 0.590 0.155 0.124
Te 0.594 0.162 0.803
Te 0.838 0.406 0.697
Te 0.845 0.410 0.376
O 0.032 0.831 0.544
O 0.092 0.206 0.164
O 0.149 0.851 0.250
O 0.169 0.968 0.956
O 0.195 0.313 0.374
O 0.206 0.092 0.664
O 0.244 0.340 0.050
O 0.313 0.195 0.874
O 0.340 0.244 0.550
O 0.407 0.546 0.406
O 0.454 0.593 0.094
O 0.546 0.407 0.906
O 0.593 0.454 0.594
O 0.660 0.756 0.450
O 0.687 0.805 0.126
O 0.756 0.660 0.950
O 0.794 0.908 0.336
O 0.805 0.687 0.626
O 0.831 0.032 0.044
O 0.851 0.149 0.750
O 0.908 0.794 0.836
O 0.968 0.169 0.456



Material: TlW2Cl
Method: DFT, GGA-PBE
State: relaxed

Computed properties:
formation energy (no corrections): 17.95 kcal/mol of atoms
V: 21.05 Å³ per atom
distance to the lowest polymorph of the same formula: 487.1 meV/atom
spin magnetization: 0.00 Bohr magnetons per cell
space-group type: Pmm2, No. 25
density of states at the Fermi level: 2.89 states/eV per cell
crystal system: orthorhombic

Cell lengths 2.820, 4.203, 7.104 Å; angles 90.00, 90.00, 90.00 degrees
Positions (direct):
Tl 0.000 0.000 0.000
W 0.000 0.000 0.437
W 0.500 0.500 0.273
Cl 0.500 0.500 0.616



Material: Ti4B
Method: DFT, GGA-PBE
State: relaxed

Computed properties:
V: 16.26 Å³ per atom
formation energy: 1 meV/atom
spin magnetization: 2.94 Bohr magnetons per cell
space-group type: Pm-3m, No. 221
density of states at the Fermi level: 7.04 states/eV per cell
crystal system: cubic

Cell lengths 4.332, 4.332, 4.332 Å; angles 90.00, 90.00, 90.00 degrees
Positions (direct):
Ti 0.000 0.000 0.000
Ti 0.000 0.500 0.500
Ti 0.500 0.000 0.500
Ti 0.500 0.500 0.000
B 0.500 0.500 0.500



Material: PaAlTe
Method: DFT, GGA-PBE
State: relaxed

Computed properties:
formation energy (no corrections): -4.84 kcal/mol of atoms
V: 30.31 Å³ per atom
spin magnetization: 0.00 Bohr magnetons per cell
space-group type: P-1, No. 2
density of states at the Fermi level: 5.63 states/eV per cell
crystal system: triclinic

Cell lengths 4.680, 5.483, 8.299 Å; angles 93.67, 105.45, 115.21 degrees
Positions (direct):
Pa 0.096 0.241 0.449
Pa 0.904 0.759 0.551
Al 0.340 0.837 0.334
Al 0.660 0.163 0.666
Te 0.498 0.292 0.187
Te 0.502 0.708 0.813



Material: LaPmAlAg
Method: DFT, GGA-PBE
State: relaxed

Computed properties:
V: 26.65 Å³ per atom
formation energy: -322 meV/atom
distance to the lowest polymorph of the same formula: 0.0 meV/atom
spin magnetization: 0.00 Bohr magnetons per cell
space-group type: P4mm, No. 99
density of states at the Fermi level: 4.12 states/eV per cell
crystal system: tetragonal

Cell lengths 3.687, 3.687, 7.841 Å; angles 90.00, 90.00, 90.00 degrees
Positions (direct):
La 0.000 0.000 0.000
Pm 0.000 0.000 0.490
Al 0.500 0.500 0.252
Ag 0.500 0.500 0.724



Material: Y8Ga2Tc
Method: DFT, GGA-PBE
State: relaxed

Computed properties:
V: 26.58 Å³ per atom
formation energy: -144 meV/atom
spin magnetization: 0.00 Bohr magnetons per cell
space-group type: Immm, No. 71
density of states at the Fermi level: 11.05 states/eV per cell
crystal system: orthorhombic

Cell lengths 8.603, 8.603, 8.603 Å; angles 146.68, 122.05, 68.51 degrees
Positions (direct):
Y 0.119 0.344 0.774
Y 0.124 0.124 0.000
Y 0.324 0.000 0.324
Y 0.430 0.656 0.774
Y 0.570 0.344 0.226
Y 0.676 0.000 0.676
Y 0.876 0.876 0.000
Y 0.881 0.656 0.226
Ga 0.307 0.807 0.500
Ga 0.693 0.193 0.500
Tc 0.000 0.500 0.500



Material: AcTbHg
Method: DFT, GGA-PBE
State: relaxed

Computed properties:
V: 33.46 Å³ per atom
formation energy: -205 meV/atom
distance to the lowest polymorph of the same formula: 118.3 meV/atom
spin magnetization: 0.00 Bohr magnetons per cell
space-group type: P-6m2, No. 187
density of states at the Fermi level: 3.65 states/eV per cell
crystal system: hexagonal

Cell lengths 5.323, 5.323, 4.091 Å; angles 90.00, 90.00, 120.00 degrees
Positions (direct):
Ac 0.000 0.000 0.000
Tb 0.667 0.333 0.500
Hg 0.333 0.667 0.500